1.
Computed, not measured: an optimized crystal structure of LiZnGa2Au at the PBE level of DFT.

Unit cell a=4.560 b=4.560 c=4.548 alpha=90.00 beta=90.00 gamma=90.00
Fractional coordinates of all 5 atoms:
Li1 0.000 0.000 0.000
Zn1 0.000 0.000 0.500
Ga1 0.000 0.500 0.000
Ga2 0.500 0.000 0.000
Au1 0.500 0.500 0.500

Values from the calculation:
The calculation puts the magnetization at 0.00 μB per formula unit. Its calculated formation energy is 0.320 eV per atom.

2.
Computed, not measured: an optimized crystal structure of AuS2BrN at the PBE level of DFT.

Unit cell a=5.134 b=5.134 c=3.798 alpha=90.00 beta=90.00 gamma=90.00
Fractional coordinates of all 5 atoms:
Au1 0.000 0.000 0.000
S1 0.000 0.500 0.000
S2 0.500 0.000 0.000
Br1 0.500 0.500 0.500
N1 0.000 0.000 0.500

Values from the calculation:
The energy relative to the elements, uncorrected is 7.031 eV/f.u. The calculation puts the magnetization at 0.00 μB per formula unit. The calculation puts the energy above the most stable polymorph in this dataset at 0 meV per atom.

3.
Computed, not measured: an optimized crystal structure of KCaSb2 at the PBE level of DFT.

Unit cell a=5.513 b=5.513 c=7.163 alpha=104.23 beta=104.23 gamma=44.39
Fractional coordinates of all 4 atoms:
K1 0.000 0.000 0.000
Ca1 0.500 0.500 0.500
Sb1 0.244 0.244 0.664
Sb2 0.756 0.756 0.336

Values from the calculation:
The energy relative to the elements, uncorrected is -2.102 eV/f.u. The calculation puts the magnetization at 0.00 μB per formula unit. The calculation puts the energy above the most stable polymorph in this dataset at 115 meV per atom.